VCrF: optimized geometry, GGA+U.

Cell: 11.639 2.950 5.561 Å, 90.00 90.00 90.00°
Atoms (fractional coordinates):
V (0.000, 0.000, 0.000)
V (0.000, 0.500, 0.500)
V (0.500, 0.000, 0.367)
V (0.500, 0.500, 0.867)
Cr (0.311, 0.000, 0.664)
Cr (0.311, 0.500, 0.164)
Cr (0.689, 0.000, 0.664)
Cr (0.689, 0.500, 0.164)
F (0.179, 0.000, 0.000)
F (0.179, 0.500, 0.500)
F (0.821, 0.000, 0.000)
F (0.821, 0.500, 0.500)

DFT total energy: -6.02 eV/atom